No. 1
Below is crystalline MgMnZnNi2 at its relaxed geometry, with properties calculated at the GGA-PBEsol level.

a b c (Å): 4.2075 4.2075 4.4843
angles (deg): 90.00 90.00 90.00
With the nearest neighbours (Å) after each atom.
Positions (direct):
Mg (0.0000, 0.0000, 0.0000)  4 Zn 2.98, 8 Ni 3.07
Mn (0.5000, 0.5000, 0.5000)  4 Ni 2.10, 2 Zn 2.24
Zn (0.5000, 0.5000, 0.0000)  2 Mn 2.24
Ni (0.0000, 0.5000, 0.5000)  2 Mn 2.10
Ni (0.5000, 0.0000, 0.5000)  2 Mn 2.10

Summary:
The value obtained for the total energy is -4.286 eV per atom. The space-group type is No. 123. Its crystal system is tetragonal. The value obtained for the energy of formation is 0.7886 eV per atom.

***

No. 2
Below is crystalline K3RhI at its relaxed geometry, with properties calculated at the GGA-PBEsol level.

a b c (Å): 6.3441 6.3441 6.3441
angles (deg): 90.00 90.00 90.00
With the nearest neighbours (Å) after each atom.
Positions (direct):
K (0.0000, 0.0000, 0.5000)  2 I 3.17
K (0.0000, 0.5000, 0.0000)  2 I 3.17
K (0.5000, 0.0000, 0.0000)  2 I 3.17
Rh (0.5000, 0.5000, 0.5000)  12 K 4.49
I (0.0000, 0.0000, 0.0000)  6 K 3.17

Summary:
The value obtained for the total energy is -2.310 eV per atom. The formation energy without anion corrections comes out at 351 meV per atom. The space-group type is No. 221. Its crystal system is cubic.

***

No. 3
Below is crystalline Li9Cu2H4O8 at its relaxed geometry, with properties calculated at the GGA-PBEsol level.

a b c (Å): 7.2594 5.3763 10.7649
angles (deg): 90.00 90.00 90.00
With the nearest neighbours (Å) after each atom.
Positions (direct):
Li (0.0000, 0.1646, 0.0000)  4 O 1.98-2.19
Li (0.0000, 0.2023, 0.4895)  6 O 2.04-2.29
Li (0.0000, 0.3110, 0.2662)  4 O 1.88-1.99
Li (0.0000, 0.6865, 0.4315)  4 O 2.01-2.22
Li (0.0000, 0.8246, 0.6627)  4 O 1.87-2.08
Li (0.2467, 0.9414, 0.8742)  4 O 1.89-2.02
Li (0.2504, 0.4590, 0.0561)  4 O 1.89-2.07
Li (0.2496, 0.5410, 0.5561)  4 O 1.89-2.07
Li (0.2533, 0.0586, 0.3742)  4 O 1.89-2.02
Li (0.5000, 0.1754, 0.1627)  4 O 1.87-2.08
Li (0.5000, 0.3135, 0.9315)  4 O 2.01-2.22
Li (0.5000, 0.6890, 0.7662)  4 O 1.88-1.99
Li (0.5000, 0.7977, 0.9895)  6 O 2.04-2.29
Li (0.5000, 0.8354, 0.5000)  4 O 1.98-2.19
Li (0.7467, 0.0586, 0.3742)  4 O 1.89-2.02
Li (0.7496, 0.4590, 0.0561)  4 O 1.89-2.07
Li (0.7504, 0.5410, 0.5561)  4 O 1.89-2.07
Li (0.7533, 0.9414, 0.8742)  4 O 1.89-2.02
Cu (0.0000, 0.2748, 0.7345)  2 O 1.75
Cu (0.0000, 0.7439, 0.1936)  2 O 1.76-1.77
Cu (0.5000, 0.2561, 0.6936)  2 O 1.76-1.77
Cu (0.5000, 0.7252, 0.2345)  2 O 1.75
H (0.2010, 0.5199, 0.8429)  1 O 0.98
H (0.2294, 0.9767, 0.1076)  1 O 0.99
H (0.2706, 0.0233, 0.6076)  1 O 0.99
H (0.2990, 0.4801, 0.3429)  1 O 0.98
H (0.7010, 0.4801, 0.3429)  1 O 0.98
H (0.7294, 0.0233, 0.6076)  1 O 0.99
H (0.7706, 0.9767, 0.1076)  1 O 0.99
H (0.7990, 0.5199, 0.8429)  1 O 0.98
O (0.0000, 0.0130, 0.8317)  1 Cu 1.75, 2 Li 1.89
O (0.0000, 0.4701, 0.1026)  1 Cu 1.77, 4 Li 1.89-1.98
O (0.0000, 0.4905, 0.6132)  1 Cu 1.75, 3 Li 1.87-1.93
O (0.0000, 0.9724, 0.3107)  1 Cu 1.76, 1 Li 1.88
O (0.1900, 0.4197, 0.3877)  1 H 0.98
O (0.2118, 0.9219, 0.5423)  1 H 0.99
O (0.2882, 0.0781, 0.0423)  1 H 0.99
O (0.3100, 0.5803, 0.8877)  1 H 0.98
O (0.5000, 0.0276, 0.8107)  1 Cu 1.76, 1 Li 1.88
O (0.5000, 0.5095, 0.1132)  1 Cu 1.75, 3 Li 1.87-1.93
O (0.5000, 0.5299, 0.6026)  1 Cu 1.77, 4 Li 1.89-1.98
O (0.5000, 0.9870, 0.3317)  1 Cu 1.75, 2 Li 1.89
O (0.6900, 0.5803, 0.8877)  1 H 0.98
O (0.7118, 0.0781, 0.0423)  1 H 0.99
O (0.7882, 0.9219, 0.5423)  1 H 0.99
O (0.8100, 0.4197, 0.3877)  1 H 0.98

Summary:
The value obtained for the total energy is -4.986 eV per atom. The space-group type is No. 31. Its crystal system is orthorhombic.

***

No. 4
Below is crystalline TeRu2Br at its relaxed geometry, with properties calculated at the GGA-PBEsol level.

a b c (Å): 5.2805 5.2805 5.2805
angles (deg): 146.15 116.76 73.69
With the nearest neighbours (Å) after each atom.
Positions (direct):
Te (0.0000, 0.0000, 0.0000)  4 Ru 2.55
Ru (0.2413, 0.7413, 0.5000)  2 Te 2.55, 2 Br 2.67
Ru (0.7587, 0.2587, 0.5000)  2 Te 2.55, 2 Br 2.67
Br (0.5000, 0.5000, 0.0000)  4 Ru 2.67

Summary:
The value obtained for the total energy is -5.583 eV per atom. The formation energy without anion corrections comes out at 852 meV per atom. The space-group type is No. 71. Its crystal system is orthorhombic. The value obtained for the distance to the lowest polymorph of the same formula is 0.572 eV per atom.

***

No. 5
Below is crystalline PrSiOs2C at its relaxed geometry, with properties calculated at the GGA-PBEsol level.

a b c (Å): 5.8687 5.8687 7.1407
angles (deg): 90.00 90.00 140.50
With the nearest neighbours (Å) after each atom.
Positions (direct):
Pr (0.0500, 0.9500, 0.7500)  4 C 2.72
Pr (0.9500, 0.0500, 0.2500)  4 C 2.72
Si (0.2294, 0.7706, 0.2500)  6 Os 2.50
Si (0.7706, 0.2294, 0.7500)  6 Os 2.50
Os (0.3333, 0.6667, 0.5604)  1 C 1.89
Os (0.3333, 0.6667, 0.9396)  1 C 1.89
Os (0.6667, 0.3333, 0.0604)  1 C 1.89
Os (0.6667, 0.3333, 0.4396)  1 C 1.89
C (0.5000, 0.5000, 0.0000)  2 Os 1.89
C (0.5000, 0.5000, 0.5000)  2 Os 1.89

Summary:
The value obtained for the total energy is -9.481 eV per atom. The formation energy without anion corrections comes out at -480 meV per atom. The space-group type is No. 63. Its crystal system is orthorhombic.

***

No. 6
Below is crystalline ZrMn3 at its relaxed geometry, with properties calculated at the GGA-PBEsol level.

a b c (Å): 4.8079 4.8079 4.8079
angles (deg): 116.71 116.71 116.71
With the nearest neighbours (Å) after each atom.
Positions (direct):
Zr (0.0000, 0.0000, 0.0000)  6 Mn 2.52, 2 Zr 2.65
Mn (0.0000, 0.5000, 0.5000)  6 Mn 2.52-2.65, 2 Zr 2.52
Mn (0.5000, 0.0000, 0.5000)  2 Zr 2.52, 6 Mn 2.52-2.65
Mn (0.5000, 0.5000, 0.0000)  6 Mn 2.52-2.65, 2 Zr 2.52

Summary:
The value obtained for the total energy is -9.271 eV per atom. The space-group type is No. 166. Its crystal system is trigonal. The value obtained for the energy of formation is 0.3225 eV per atom.